# RbAuI2O, optimized geometry, DFT PBE
# E_form (uncorrected) = 0.665 eV/atom
# E above lowest polymorph = 1067 meV/atom
data_RbAuI2O
_space_group_name_H-M_alt 'P 4/m m m'
_space_group_IT_number 123
_space_group_name_Hall '-P 4 2'
_cell_length_a 6.769
_cell_length_b 6.769
_cell_length_c 4.152
_cell_angle_alpha 90.00
_cell_angle_beta 90.00
_cell_angle_gamma 90.00
loop_
_atom_site_label
_atom_site_type_symbol
_atom_site_fract_x
_atom_site_fract_y
_atom_site_fract_z
Rb1 Rb 0.000 0.000 0.000
Au1 Au 0.500 0.500 0.500
I1 I 0.000 0.500 0.000
O1 O 0.000 0.000 0.500

---

# Rb5AuI2O, optimized geometry, DFT PBE
# E_form (uncorrected) = -1.015 eV/atom
data_Rb5AuI2O
_space_group_name_H-M_alt 'C m c m'
_space_group_IT_number 63
_space_group_name_Hall '-C 2c 2'
_cell_length_a 4.626
_cell_length_b 23.174
_cell_length_c 14.072
_cell_angle_alpha 90.00
_cell_angle_beta 90.00
_cell_angle_gamma 90.00
loop_
_atom_site_label
_atom_site_type_symbol
_atom_site_fract_x
_atom_site_fract_y
_atom_site_fract_z
Rb1 Rb 0.000 0.000 0.000
Rb2 Rb 0.000 0.148 0.250
Rb3 Rb 0.000 0.227 0.624
Rb4 Rb 0.000 0.387 0.250
Au1 Au 0.000 0.007 0.750
I1 I 0.000 0.373 0.526
O1 O 0.000 0.268 0.250

---

# Rb2AuIO, optimized geometry, DFT PBE
# E_form (uncorrected) = -0.970 eV/atom
data_Rb2AuIO
_space_group_name_H-M_alt 'P 4/m m m'
_space_group_IT_number 123
_space_group_name_Hall '-P 4 2'
_cell_length_a 6.177
_cell_length_b 6.177
_cell_length_c 4.099
_cell_angle_alpha 90.00
_cell_angle_beta 90.00
_cell_angle_gamma 90.00
loop_
_atom_site_label
_atom_site_type_symbol
_atom_site_fract_x
_atom_site_fract_y
_atom_site_fract_z
Rb1 Rb 0.000 0.500 0.000
Au1 Au 0.000 0.000 0.500
I1 I 0.500 0.500 0.500
O1 O 0.000 0.000 0.000

---

# Rb12AuI4O3, optimized geometry, DFT PBE
# E_form (uncorrected) = -1.035 eV/atom
data_Rb12AuI4O3
_space_group_name_H-M_alt 'I m -3 m'
_space_group_IT_number 229
_space_group_name_Hall '-I 4 2 3'
_cell_length_a 11.855
_cell_length_b 11.855
_cell_length_c 11.855
_cell_angle_alpha 90.00
_cell_angle_beta 90.00
_cell_angle_gamma 90.00
loop_
_atom_site_label
_atom_site_type_symbol
_atom_site_fract_x
_atom_site_fract_y
_atom_site_fract_z
Rb1 Rb 0.000 0.000 0.280
Rb2 Rb 0.000 0.250 0.500
Au1 Au 0.000 0.000 0.000
I1 I 0.250 0.250 0.250
O1 O 0.000 0.000 0.500

---

# Rb5Au2IO, optimized geometry, DFT PBE
# E_form (uncorrected) = -0.783 eV/atom
data_Rb5Au2IO
_space_group_name_H-M_alt 'I m m m'
_space_group_IT_number 71
_space_group_name_Hall '-I 2 2'
_cell_length_a 5.548
_cell_length_b 8.218
_cell_length_c 16.626
_cell_angle_alpha 90.00
_cell_angle_beta 90.00
_cell_angle_gamma 90.00
loop_
_atom_site_label
_atom_site_type_symbol
_atom_site_fract_x
_atom_site_fract_y
_atom_site_fract_z
Rb1 Rb 0.000 0.000 0.000
Rb2 Rb 0.000 0.268 0.379
Au1 Au 0.000 0.000 0.210
I1 I 0.000 0.500 0.000
O1 O 0.000 0.500 0.500

---

# Rb9AuI3O2, optimized geometry, DFT PBE
# E_form (uncorrected) = -0.990 eV/atom
data_Rb9AuI3O2
_space_group_name_H-M_alt 'P -3 m 1'
_space_group_IT_number 164
_space_group_name_Hall '-P 3 2"'
_cell_length_a 8.2688
_cell_length_b 8.2688
_cell_length_c 11.1791
_cell_angle_alpha 90.00
_cell_angle_beta 90.00
_cell_angle_gamma 120.00
loop_
_atom_site_label
_atom_site_type_symbol
_atom_site_fract_x
_atom_site_fract_y
_atom_site_fract_z
Rb1 Rb 0.0000 0.5000 0.0000
Rb2 Rb 0.1764 0.3529 0.2896
Au1 Au 0.0000 0.0000 0.5000
I1 I 0.0000 0.0000 0.0000
I2 I 0.3333 0.6667 0.7276
O1 O 0.3333 0.6667 0.1572

---

# Rb6Au2IO, optimized geometry, DFT PBE
# E_form (uncorrected) = -0.653 eV/atom
data_Rb6Au2IO
_space_group_name_H-M_alt 'R -3 m'
_space_group_IT_number 166
_space_group_name_Hall '-R 3 2"'
_cell_length_a 8.1045
_cell_length_b 8.1045
_cell_length_c 53.5230
_cell_angle_alpha 90.00
_cell_angle_beta 90.00
_cell_angle_gamma 120.00
loop_
_atom_site_label
_atom_site_type_symbol
_atom_site_fract_x
_atom_site_fract_y
_atom_site_fract_z
Rb1 Rb 0.0109 0.5055 0.1960
Rb2 Rb 0.0174 0.5087 0.6367
Au1 Au 0.0000 0.0000 0.1863
Au2 Au 0.0000 0.0000 0.3521
I1 I 0.0000 0.0000 0.0850
O1 O 0.0000 0.0000 0.0000
O2 O 0.0000 0.0000 0.5000

---

# RhAuIO2, optimized geometry, DFT PBE
# E_form (uncorrected) = -0.027 eV/atom
# E above lowest polymorph = 0 meV/atom
data_RhAuIO2
_space_group_name_H-M_alt 'P 4/m m m'
_space_group_IT_number 123
_space_group_name_Hall '-P 4 2'
_cell_length_a 3.841
_cell_length_b 3.841
_cell_length_c 8.031
_cell_angle_alpha 90.00
_cell_angle_beta 90.00
_cell_angle_gamma 90.00
loop_
_atom_site_label
_atom_site_type_symbol
_atom_site_fract_x
_atom_site_fract_y
_atom_site_fract_z
Rh1 Rh 0.000 0.000 0.000
Au1 Au 0.500 0.500 0.500
I1 I 0.000 0.000 0.500
O1 O 0.000 0.500 0.000

---

# RhAuI2O, optimized geometry, DFT PBE
# E_form (uncorrected) = 0.103 eV/atom
# E above lowest polymorph = 0 meV/atom
data_RhAuI2O
_space_group_name_H-M_alt 'P 4/m m m'
_space_group_IT_number 123
_space_group_name_Hall '-P 4 2'
_cell_length_a 5.633
_cell_length_b 5.633
_cell_length_c 3.730
_cell_angle_alpha 90.00
_cell_angle_beta 90.00
_cell_angle_gamma 90.00
loop_
_atom_site_label
_atom_site_type_symbol
_atom_site_fract_x
_atom_site_fract_y
_atom_site_fract_z
Rh1 Rh 0.000 0.000 0.000
Au1 Au 0.500 0.500 0.500
I1 I 0.000 0.500 0.000
O1 O 0.000 0.000 0.500

---

# RhAuIO2, optimized geometry, DFT PBE
# E_form (uncorrected) = 0.660 eV/atom
# E above lowest polymorph = 687 meV/atom
data_RhAuIO2
_space_group_name_H-M_alt 'P 4/m m m'
_space_group_IT_number 123
_space_group_name_Hall '-P 4 2'
_cell_length_a 3.887
_cell_length_b 3.887
_cell_length_c 7.758
_cell_angle_alpha 90.00
_cell_angle_beta 90.00
_cell_angle_gamma 90.00
loop_
_atom_site_label
_atom_site_type_symbol
_atom_site_fract_x
_atom_site_fract_y
_atom_site_fract_z
Rh1 Rh 0.000 0.000 0.000
Au1 Au 0.500 0.500 0.500
I1 I 0.500 0.500 0.000
O1 O 0.000 0.500 0.500

---

# RhAuI2O, optimized geometry, DFT PBE
# E_form (uncorrected) = 0.742 eV/atom
# E above lowest polymorph = 639 meV/atom
data_RhAuI2O
_space_group_name_H-M_alt 'P 4/m m m'
_space_group_IT_number 123
_space_group_name_Hall '-P 4 2'
_cell_length_a 5.708
_cell_length_b 5.708
_cell_length_c 3.932
_cell_angle_alpha 90.00
_cell_angle_beta 90.00
_cell_angle_gamma 90.00
loop_
_atom_site_label
_atom_site_type_symbol
_atom_site_fract_x
_atom_site_fract_y
_atom_site_fract_z
Rh1 Rh 0.000 0.000 0.000
Au1 Au 0.500 0.500 0.500
I1 I 0.000 0.500 0.500
O1 O 0.500 0.500 0.000

---

# RuAuI2O, optimized geometry, DFT PBE
# E_form (uncorrected) = 0.933 eV/atom
# E above lowest polymorph = 868 meV/atom
data_RuAuI2O
_space_group_name_H-M_alt 'P 4/m m m'
_space_group_IT_number 123
_space_group_name_Hall '-P 4 2'
_cell_length_a 5.731
_cell_length_b 5.731
_cell_length_c 3.938
_cell_angle_alpha 90.00
_cell_angle_beta 90.00
_cell_angle_gamma 90.00
loop_
_atom_site_label
_atom_site_type_symbol
_atom_site_fract_x
_atom_site_fract_y
_atom_site_fract_z
Ru1 Ru 0.000 0.000 0.000
Au1 Au 0.500 0.500 0.500
I1 I 0.000 0.500 0.500
O1 O 0.500 0.500 0.000

---

# RuAuIO2, optimized geometry, DFT PBE
# E_form (uncorrected) = 0.898 eV/atom
# E above lowest polymorph = 1077 meV/atom
data_RuAuIO2
_space_group_name_H-M_alt 'P 4/m m m'
_space_group_IT_number 123
_space_group_name_Hall '-P 4 2'
_cell_length_a 3.935
_cell_length_b 3.935
_cell_length_c 7.374
_cell_angle_alpha 90.00
_cell_angle_beta 90.00
_cell_angle_gamma 90.00
loop_
_atom_site_label
_atom_site_type_symbol
_atom_site_fract_x
_atom_site_fract_y
_atom_site_fract_z
Ru1 Ru 0.000 0.000 0.000
Au1 Au 0.500 0.500 0.500
I1 I 0.500 0.500 0.000
O1 O 0.000 0.500 0.500

---

# RuAuI2O, optimized geometry, DFT PBE
# E_form (uncorrected) = 0.064 eV/atom
# E above lowest polymorph = 0 meV/atom
data_RuAuI2O
_space_group_name_H-M_alt 'P 4/m m m'
_space_group_IT_number 123
_space_group_name_Hall '-P 4 2'
_cell_length_a 5.564
_cell_length_b 5.564
_cell_length_c 3.728
_cell_angle_alpha 90.00
_cell_angle_beta 90.00
_cell_angle_gamma 90.00
loop_
_atom_site_label
_atom_site_type_symbol
_atom_site_fract_x
_atom_site_fract_y
_atom_site_fract_z
Ru1 Ru 0.000 0.000 0.000
Au1 Au 0.500 0.500 0.500
I1 I 0.000 0.500 0.000
O1 O 0.000 0.000 0.500

---

# RuAuIO2, optimized geometry, DFT PBE
# E_form (uncorrected) = -0.180 eV/atom
# E above lowest polymorph = 0 meV/atom
data_RuAuIO2
_space_group_name_H-M_alt 'P 4/m m m'
_space_group_IT_number 123
_space_group_name_Hall '-P 4 2'
_cell_length_a 3.834
_cell_length_b 3.834
_cell_length_c 6.961
_cell_angle_alpha 90.00
_cell_angle_beta 90.00
_cell_angle_gamma 90.00
loop_
_atom_site_label
_atom_site_type_symbol
_atom_site_fract_x
_atom_site_fract_y
_atom_site_fract_z
Ru1 Ru 0.000 0.000 0.000
Au1 Au 0.500 0.500 0.500
I1 I 0.000 0.000 0.500
O1 O 0.000 0.500 0.000

---

# AuSIO2, optimized geometry, DFT PBE
# E_form (uncorrected) = 0.562 eV/atom
data_AuSIO2
_space_group_name_H-M_alt 'P 4/m m m'
_space_group_IT_number 123
_space_group_name_Hall '-P 4 2'
_cell_length_a 3.924
_cell_length_b 3.924
_cell_length_c 8.335
_cell_angle_alpha 90.00
_cell_angle_beta 90.00
_cell_angle_gamma 90.00
loop_
_atom_site_label
_atom_site_type_symbol
_atom_site_fract_x
_atom_site_fract_y
_atom_site_fract_z
Au1 Au 0.000 0.000 0.000
S1 S 0.500 0.500 0.500
I1 I 0.000 0.000 0.500
O1 O 0.000 0.500 0.000

---

# AuSIO2, optimized geometry, DFT PBE
# E_form (uncorrected) = 0.297 eV/atom
data_AuSIO2
_space_group_name_H-M_alt 'P 4/m m m'
_space_group_IT_number 123
_space_group_name_Hall '-P 4 2'
_cell_length_a 3.782
_cell_length_b 3.782
_cell_length_c 7.788
_cell_angle_alpha 90.00
_cell_angle_beta 90.00
_cell_angle_gamma 90.00
loop_
_atom_site_label
_atom_site_type_symbol
_atom_site_fract_x
_atom_site_fract_y
_atom_site_fract_z
Au1 Au 0.000 0.000 0.000
S1 S 0.500 0.500 0.500
I1 I 0.500 0.500 0.000
O1 O 0.000 0.500 0.500

---

# SbAuI2O, optimized geometry, DFT PBE
# E_form (uncorrected) = 0.023 eV/atom
# E above lowest polymorph = 0 meV/atom
data_SbAuI2O
_space_group_name_H-M_alt 'P 4/m m m'
_space_group_IT_number 123
_space_group_name_Hall '-P 4 2'
_cell_length_a 6.046
_cell_length_b 6.046
_cell_length_c 4.057
_cell_angle_alpha 90.00
_cell_angle_beta 90.00
_cell_angle_gamma 90.00
loop_
_atom_site_label
_atom_site_type_symbol
_atom_site_fract_x
_atom_site_fract_y
_atom_site_fract_z
Sb1 Sb 0.000 0.000 0.000
Au1 Au 0.500 0.500 0.500
I1 I 0.000 0.500 0.000
O1 O 0.000 0.000 0.500

---

# SbAuIO2, optimized geometry, DFT PBE
# E_form (uncorrected) = 0.563 eV/atom
# E above lowest polymorph = 922 meV/atom
data_SbAuIO2
_space_group_name_H-M_alt 'P 4/m m m'
_space_group_IT_number 123
_space_group_name_Hall '-P 4 2'
_cell_length_a 4.349
_cell_length_b 4.349
_cell_length_c 5.343
_cell_angle_alpha 90.00
_cell_angle_beta 90.00
_cell_angle_gamma 90.00
loop_
_atom_site_label
_atom_site_type_symbol
_atom_site_fract_x
_atom_site_fract_y
_atom_site_fract_z
Sb1 Sb 0.000 0.000 0.000
Au1 Au 0.500 0.500 0.500
I1 I 0.500 0.500 0.000
O1 O 0.000 0.500 0.500

---

# SbAuIO2, optimized geometry, DFT PBE
# E_form (uncorrected) = -0.359 eV/atom
# E above lowest polymorph = 0 meV/atom
data_SbAuIO2
_space_group_name_H-M_alt 'P 4/m m m'
_space_group_IT_number 123
_space_group_name_Hall '-P 4 2'
_cell_length_a 4.031
_cell_length_b 4.031
_cell_length_c 7.056
_cell_angle_alpha 90.00
_cell_angle_beta 90.00
_cell_angle_gamma 90.00
loop_
_atom_site_label
_atom_site_type_symbol
_atom_site_fract_x
_atom_site_fract_y
_atom_site_fract_z
Sb1 Sb 0.000 0.000 0.000
Au1 Au 0.500 0.500 0.500
I1 I 0.000 0.000 0.500
O1 O 0.000 0.500 0.000